Density functional theory data (PBE-GGA) for a geometry-optimized YAlSe3 structure.

Properties
Calculated volume, Å³ per cell: 262
Polymorph energy (0 for the lowest one), kJ per mole of atoms: 21.2
ΔE_f (raw), eV/atom: -1.151
Magnetic moment, μB per cell: 0.00

abc: 6.806 6.881 6.520
angles: 90.00 121.08 90.00
Fractional positions:
Al 0.024 0.250 0.136
Se 0.885 0.750 0.461
Se 0.708 0.493 0.846
Al 0.976 0.750 0.864
Se 0.115 0.250 0.539
Se 0.292 0.507 0.154
Y 0.676 0.250 0.463
Se 0.708 0.007 0.846
Se 0.292 0.993 0.154
Y 0.324 0.750 0.537